Record 1
Here is a relaxed BaPuO3 crystal from Alexandria via LeMat-Bulk. Energies are from GGA-PBEsol.

abc: 6.106 6.174 8.617
angles: 90.00 90.00 90.00
Each line ends with the local moment (μB).
Atoms (fractional coordinates):
Ba1 0.008 0.994 0.250  0.03
Ba2 0.508 0.506 0.250  0.03
Ba3 0.492 0.494 0.750  0.03
Ba4 0.992 0.006 0.750  0.03
Pu1 0.500 0.000 0.000  4.14
Pu2 0.000 0.500 0.500  4.14
Pu3 0.000 0.500 0.000  4.14
Pu4 0.500 0.000 0.500  4.14
O1 0.495 0.070 0.250  -0.09
O2 0.995 0.430 0.250  -0.09
O3 0.005 0.570 0.750  -0.09
O4 0.505 0.930 0.750  -0.09
O5 0.260 0.740 0.038  -0.09
O6 0.760 0.760 0.462  -0.09
O7 0.240 0.240 0.962  -0.09
O8 0.740 0.260 0.538  -0.09
O9 0.740 0.260 0.962  -0.09
O10 0.240 0.240 0.538  -0.09
O11 0.760 0.760 0.038  -0.09
O12 0.260 0.740 0.462  -0.09

Results
DFT total energy: -9.547 eV per atom
Crystal system: orthorhombic
Space-group type: Pnma
Energy relative to the elements, uncorrected: -2937 meV/atom

Record 2
Here is a relaxed Cs2DyCl5 crystal from Alexandria via LeMat-Bulk. Energies are from GGA-PBEsol.

abc: 7.365 9.429 15.082
angles: 90.00 90.00 90.00
Atoms (fractional coordinates):
Cs1 0.750 0.028 0.209
Cs2 0.250 0.972 0.791
Cs3 0.750 0.528 0.291
Cs4 0.250 0.472 0.709
Cs5 0.250 0.167 0.416
Cs6 0.750 0.833 0.584
Cs7 0.250 0.667 0.084
Cs8 0.750 0.333 0.916
Dy1 0.250 0.182 0.066
Dy2 0.750 0.818 0.934
Dy3 0.250 0.682 0.434
Dy4 0.750 0.318 0.566
Cl1 0.000 0.000 0.000
Cl2 0.500 0.000 0.000
Cl3 0.500 0.500 0.500
Cl4 0.000 0.500 0.500
Cl5 0.509 0.339 0.120
Cl6 0.009 0.661 0.880
Cl7 0.991 0.839 0.380
Cl8 0.491 0.161 0.620
Cl9 0.491 0.661 0.880
Cl10 0.991 0.339 0.120
Cl11 0.009 0.161 0.620
Cl12 0.509 0.839 0.380
Cl13 0.750 0.209 0.406
Cl14 0.250 0.791 0.594
Cl15 0.750 0.709 0.094
Cl16 0.250 0.291 0.906
Cl17 0.250 0.017 0.202
Cl18 0.750 0.983 0.798
Cl19 0.250 0.517 0.298
Cl20 0.750 0.483 0.702

Results
DFT total energy: -4.311 eV per atom
Crystal system: orthorhombic
Space-group type: Pnma
Energy relative to the elements, uncorrected: -2198 meV/atom